Compound: Er6HgP2S3
Source: Alexandria via LeMat-Bulk
Functional: PBE-GGA
Structure: relaxed

Cell: 8.889 8.889 8.049 Å, 103.09 103.09 25.50°
Sites, in units of the cell vectors:
Er  0.001  0.001  0.269
Er  0.328  0.328  0.906
Er  0.330  0.330  0.423
Er  0.670  0.670  0.577
Er  0.672  0.672  0.094
Er  0.999  0.999  0.731
Hg  0.500  0.500  0.000
P  0.167  0.167  0.335
P  0.833  0.833  0.665
S  0.168  0.168  0.831
S  0.500  0.500  0.500
S  0.832  0.832  0.169

Output
As for the total energy: -69.78 eV per formula unit. The space group is No. 12. As for the formation energy from raw total energies: -18.900 eV per formula unit. The density of states at the Fermi level comes out at 4.81 states/eV/cell.

Compound: Er4Hg2PSe
Source: Alexandria via LeMat-Bulk
Functional: PBE-GGA
Structure: relaxed

Cell: 6.730 3.894 7.963 Å, 90.00 106.33 90.00°
Sites, in units of the cell vectors:
Er  0.229  0.000  0.215
Er  0.250  0.500  0.780
Er  0.750  0.500  0.220
Er  0.771  0.000  0.785
Hg  0.000  0.000  0.500
Hg  0.500  0.500  0.500
P  0.000  0.500  0.000
Se  0.500  0.000  0.000

Output
As for the total energy: -36.12 eV per formula unit. The space group is No. 10. As for the formation energy from raw total energies: -8.368 eV per formula unit. The density of states at the Fermi level comes out at 3.53 states/eV/cell.

Compound: Er6HgP2Se3
Source: Alexandria via LeMat-Bulk
Functional: PBE-GGA
Structure: relaxed

Cell: 9.089 9.089 8.262 Å, 102.94 102.94 25.36°
Sites, in units of the cell vectors:
Er  0.006  0.006  0.261
Er  0.327  0.327  0.428
Er  0.330  0.330  0.897
Er  0.670  0.670  0.103
Er  0.673  0.673  0.572
Er  0.994  0.994  0.739
Hg  0.500  0.500  0.000
P  0.168  0.168  0.338
P  0.832  0.832  0.662
Se  0.167  0.167  0.832
Se  0.500  0.500  0.500
Se  0.833  0.833  0.168

Output
As for the total energy: -66.80 eV per formula unit. The space group is No. 12. As for the formation energy from raw total energies: -17.848 eV per formula unit. The density of states at the Fermi level comes out at 4.50 states/eV/cell.

Compound: Er8Hg4PSe3
Source: Alexandria via LeMat-Bulk
Functional: PBE-GGA
Structure: relaxed

Cell: 7.825 7.825 8.830 Å, 116.17 116.17 60.14°
Sites, in units of the cell vectors:
Er  0.235  0.235  0.722
Er  0.235  0.752  0.722
Er  0.248  0.765  0.278
Er  0.257  0.257  0.270
Er  0.743  0.743  0.730
Er  0.752  0.235  0.722
Er  0.765  0.248  0.278
Er  0.765  0.765  0.278
Hg  0.000  0.000  0.000
Hg  0.000  0.500  0.000
Hg  0.500  0.000  0.000
Hg  0.500  0.500  0.000
P  0.000  0.000  0.500
Se  0.000  0.500  0.500
Se  0.500  0.000  0.500
Se  0.500  0.500  0.500

Output
As for the total energy: -70.51 eV per formula unit. The space group is No. 12. As for the formation energy from raw total energies: -16.932 eV per formula unit. The density of states at the Fermi level comes out at 8.18 states/eV/cell.

Compound: ErPaHg2
Source: Alexandria via LeMat-Bulk
Functional: PBE-GGA
Structure: relaxed

Cell: 5.260 5.260 5.260 Å, 60.00 60.00 60.00°
Sites, in units of the cell vectors:
Er  0.000  0.000  0.000
Pa  0.500  0.500  0.500
Hg  0.250  0.250  0.250
Hg  0.750  0.750  0.750

Output
For the energy relative to the lowest polymorph listed for this composition, the calculation gives 9.7 kJ per mole of atoms. As for the total energy: -14.87 eV per formula unit. The energy of formation comes out at -0.05 eV per atom. The space group is No. 225. The density of states at the Fermi level comes out at 8.53 states/eV/cell.

Compound: ErPaHg4
Source: Alexandria via LeMat-Bulk
Functional: PBE-GGA
Structure: relaxed

Cell: 5.003 5.003 6.580 Å, 90.00 90.00 120.00°
Sites, in units of the cell vectors:
Er  0.000  0.000  0.000
Pa  0.000  0.000  0.500
Hg  0.333  0.667  0.255
Hg  0.333  0.667  0.745
Hg  0.667  0.333  0.255
Hg  0.667  0.333  0.745

Output
As for the total energy: -16.09 eV per formula unit. The energy of formation comes out at -0.14 eV per atom. The space group is No. 191. The density of states at the Fermi level comes out at 5.39 states/eV/cell.

Compound: ErPaHg2
Source: Alexandria via LeMat-Bulk
Functional: PBE-GGA
Structure: relaxed

Cell: 4.736 4.736 4.459 Å, 90.00 90.00 90.00°
Sites, in units of the cell vectors:
Er  0.000  0.000  0.000
Pa  0.500  0.500  0.000
Hg  0.000  0.500  0.500
Hg  0.500  0.000  0.500

Output
For the energy relative to the lowest polymorph listed for this composition, the calculation gives 11.7 kJ per mole of atoms. As for the total energy: -14.79 eV per formula unit. The energy of formation comes out at -0.03 eV per atom. The space group is No. 123. The density of states at the Fermi level comes out at 6.65 states/eV/cell.

Compound: ErPaHg2
Source: Alexandria via LeMat-Bulk
Functional: PBE-GGA
Structure: relaxed

Cell: 3.333 3.333 8.820 Å, 90.00 90.00 90.00°
Sites, in units of the cell vectors:
Er  0.000  0.000  0.000
Pa  0.000  0.000  0.500
Hg  0.500  0.500  0.241
Hg  0.500  0.500  0.759

Output
For the energy relative to the lowest polymorph listed for this composition, the calculation gives 0.0 kJ per mole of atoms. As for the total energy: -15.28 eV per formula unit. The energy of formation comes out at -0.15 eV per atom. The space group is No. 123. The density of states at the Fermi level comes out at 5.81 states/eV/cell.

Compound: ErPaHgPt
Source: Alexandria via LeMat-Bulk
Functional: PBE-GGA
Structure: relaxed

Cell: 5.086 5.086 5.086 Å, 60.00 60.00 60.00°
Sites, in units of the cell vectors:
Er  0.000  0.000  0.000
Pa  0.500  0.500  0.500
Hg  0.750  0.750  0.750
Pt  0.250  0.250  0.250

Output
As for the total energy: -22.26 eV per formula unit. The energy of formation comes out at -0.47 eV per atom. The space group is No. 216. The density of states at the Fermi level comes out at 4.91 states/eV/cell.

Compound: ErPaHgRu
Source: Alexandria via LeMat-Bulk
Functional: PBE-GGA
Structure: relaxed

Cell: 5.030 5.030 5.030 Å, 60.00 60.00 60.00°
Sites, in units of the cell vectors:
Er  0.000  0.000  0.000
Pa  0.500  0.500  0.500
Hg  0.250  0.250  0.250
Ru  0.750  0.750  0.750

Output
As for the total energy: -24.16 eV per formula unit. The energy of formation comes out at -0.13 eV per atom. The space group is No. 216. The density of states at the Fermi level comes out at 5.11 states/eV/cell.

Compound: Er4Hg3Pb
Source: Alexandria via LeMat-Bulk
Functional: PBE-GGA
Structure: relaxed

Cell: 5.270 5.270 7.414 Å, 90.00 90.00 90.00°
Sites, in units of the cell vectors:
Er  0.000  0.500  0.244
Er  0.000  0.500  0.756
Er  0.500  0.000  0.244
Er  0.500  0.000  0.756
Hg  0.000  0.000  0.000
Hg  0.000  0.000  0.500
Hg  0.500  0.500  0.000
Pb  0.500  0.500  0.500

Output
For the energy relative to the lowest polymorph listed for this composition, the calculation gives 0.0 kJ per mole of atoms. As for the total energy: -26.51 eV per formula unit. The energy of formation comes out at -0.46 eV per atom. The space group is No. 123. The density of states at the Fermi level comes out at 7.72 states/eV/cell.

Compound: Er4HgPb2
Source: Alexandria via LeMat-Bulk
Functional: PBE-GGA
Structure: relaxed

Cell: 7.294 6.574 9.258 Å, 90.00 112.57 90.00°
Sites, in units of the cell vectors:
Er  0.037  0.250  0.450
Er  0.062  0.250  0.850
Er  0.454  0.004  0.767
Er  0.454  0.496  0.767
Er  0.546  0.504  0.233
Er  0.546  0.996  0.233
Er  0.938  0.750  0.150
Er  0.963  0.750  0.550
Hg  0.203  0.250  0.201
Hg  0.797  0.750  0.799
Pb  0.237  0.750  0.944
Pb  0.335  0.750  0.443
Pb  0.665  0.250  0.557
Pb  0.763  0.250  0.056

Output
As for the total energy: -27.81 eV per formula unit. The energy of formation comes out at -0.26 eV per atom. The space group is No. 11. The density of states at the Fermi level comes out at 12.82 states/eV/cell.